[1]
An optimized crystal structure of TbNdGeH, computed with PBE.

The structure in POSCAR format:
```
TbNdGeH
1.0
-2.4392 -0.5645 -3.6048
-3.1428 -1.8777 2.4207
-3.6257 7.6807 1.2505
Tb Nd Ge H
2 2 2 2
direct
0.0000 0.0000 0.5000 Tb
0.5000 0.5000 0.5000 Tb
0.0000 0.5000 0.8754 Nd
0.5000 0.0000 0.1246 Nd
0.5000 0.0000 0.7378 Ge
0.0000 0.5000 0.2622 Ge
0.5000 0.5000 0.0000 H
0.0000 0.0000 0.0000 H
```

Values from the calculation:
Final energy: -4.952 eV/atom
Space-group type: No. 129
Fermi-level density of states: 0.739 states/eV/atom

---

[2]
An optimized crystal structure of Tb4Nd2Ge3H2, computed with PBE.

The structure in POSCAR format:
```
Tb4Nd2Ge3H2
1.0
-1.6430 0.4602 4.2680
-4.2872 0.0567 -1.6565
2.3983 -12.1224 -0.2447
Tb Nd Ge H
4 2 3 2
direct
0.4204 0.9204 0.8408 Tb
0.9204 0.4204 0.8408 Tb
0.0796 0.5796 0.1592 Tb
0.5796 0.0796 0.1592 Tb
0.2989 0.2989 0.5978 Nd
0.7011 0.7011 0.4022 Nd
0.0000 0.0000 0.0000 Ge
0.1695 0.1695 0.3390 Ge
0.8305 0.8305 0.6610 Ge
0.4031 0.4031 0.8062 H
0.5969 0.5969 0.1938 H
```

Values from the calculation:
Final energy: -5.033 eV/atom
Space-group type: No. 139
Fermi-level density of states: 0.927 states/eV/atom

---

[3]
An optimized crystal structure of NdTcGeH2, computed with PBE.

The structure in POSCAR format:
```
NdTcGeH2
1.0
3.8933 0.0000 0.0000
-1.9466 5.4122 0.0000
0.0000 0.0000 6.2687
Nd Tc Ge H
2 2 2 4
direct
0.7055 0.4109 0.7500 Nd
0.2945 0.5891 0.2500 Nd
0.0000 0.0000 0.0000 Tc
0.0000 0.0000 0.5000 Tc
0.4277 0.8555 0.7500 Ge
0.5723 0.1445 0.2500 Ge
0.1627 0.3255 0.9462 H
0.8373 0.6745 0.0538 H
0.1627 0.3255 0.5538 H
0.8373 0.6745 0.4462 H
```

Values from the calculation:
Final energy: -5.814 eV/atom
Space-group type: No. 63
Fermi-level density of states: 0.538 states/eV/atom

---

[4]
An optimized crystal structure of Nd8Ge3Te4H, computed with PBE.

The structure in POSCAR format:
```
Nd8Ge3Te4H
1.0
-2.4807 5.7889 -5.9740
-7.9790 -3.7414 -0.3123
3.1546 2.7080 7.6211
Nd Ge Te H
8 3 4 1
direct
0.2453 0.7262 0.9809 Nd
0.2454 0.7263 0.4909 Nd
0.2583 0.2748 0.5165 Nd
0.7356 0.7262 0.9809 Nd
0.2644 0.2738 0.0191 Nd
0.7417 0.7252 0.4835 Nd
0.7546 0.2737 0.5091 Nd
0.7547 0.2738 0.0191 Nd
0.5000 0.5000 0.0000 Ge
0.5000 0.5000 0.5000 Ge
0.0000 0.5000 0.5000 Ge
0.5000 0.0000 0.0000 Te
0.5000 0.0000 0.5000 Te
0.0000 0.0000 0.0000 Te
0.0000 0.0000 0.5000 Te
0.0000 0.5000 0.0000 H
```

Values from the calculation:
Final energy: -5.349 eV/atom
Space-group type: No. 166
Fermi-level density of states: 0.345 states/eV/atom

---

[5]
An optimized crystal structure of Nd2Th4Ge3H2, computed with PBE.

The structure in POSCAR format:
```
Nd2Th4Ge3H2
1.0
-0.3061 -3.1113 3.5301
1.4429 -3.4292 -2.8973
10.9801 5.5706 2.7125
Nd Th Ge H
2 4 3 2
direct
0.2969 0.2969 0.5937 Nd
0.7031 0.7031 0.4063 Nd
0.4193 0.9193 0.8386 Th
0.9193 0.4193 0.8386 Th
0.0807 0.5807 0.1614 Th
0.5807 0.0807 0.1614 Th
0.0000 0.0000 0.0000 Ge
0.1706 0.1706 0.3412 Ge
0.8294 0.8294 0.6588 Ge
0.3972 0.3972 0.7945 H
0.6028 0.6028 0.2055 H
```

Values from the calculation:
Final energy: -5.890 eV/atom
Space-group type: No. 139
Fermi-level density of states: 0.950 states/eV/atom

---

[6]
An optimized crystal structure of Nd2Y4Ge3H2, computed with PBE.

The structure in POSCAR format:
```
Nd2Y4Ge3H2
1.0
4.5983 0.0000 0.0000
0.0000 4.5983 0.0000
-2.2991 -2.2991 11.8763
Nd Y Ge H
2 4 3 2
direct
0.2990 0.2990 0.5980 Nd
0.7010 0.7010 0.4020 Nd
0.4203 0.9203 0.8406 Y
0.9203 0.4203 0.8406 Y
0.0797 0.5797 0.1594 Y
0.5797 0.0797 0.1594 Y
0.0000 0.0000 0.0000 Ge
0.1690 0.1690 0.3379 Ge
0.8310 0.8310 0.6621 Ge
0.4034 0.4034 0.8069 H
0.5966 0.5966 0.1931 H
```

Values from the calculation:
Final energy: -5.715 eV/atom
Space-group type: No. 139
Fermi-level density of states: 0.976 states/eV/atom

---

[7]
An optimized crystal structure of NdZnGeH, computed with PBE.

The structure in POSCAR format:
```
NdZnGeH
1.0
-0.3510 1.3492 3.9209
3.6961 -1.6818 0.9096
3.4471 6.5277 -1.9377
Nd Zn Ge H
2 2 2 2
direct
0.5000 0.0000 0.6599 Nd
0.0000 0.5000 0.3401 Nd
0.5000 0.5000 0.0000 Zn
0.0000 0.0000 0.0000 Zn
0.0000 0.5000 0.7926 Ge
0.5000 0.0000 0.2074 Ge
0.0000 0.0000 0.5000 H
0.5000 0.5000 0.5000 H
```

Values from the calculation:
Final energy: -4.091 eV/atom
Space-group type: No. 129
Fermi-level density of states: 0.138 states/eV/atom

---

[8]
An optimized crystal structure of Ni3GeH, computed with PBE.

The structure in POSCAR format:
```
Ni3GeH
1.0
3.9072 -0.0002 -0.0003
-0.0001 5.1729 -0.0306
0.0002 1.8256 4.8933
H Ge Ni
2 2 6
direct
0.9415 0.5967 0.7363 H
0.4417 0.4260 0.9788 H
0.6910 0.1607 0.5641 Ge
0.1910 0.8621 0.1510 Ge
0.6925 0.1423 0.1020 Ni
0.6931 0.6427 0.4571 Ni
0.1921 0.3192 0.7655 Ni
0.1933 0.3799 0.2580 Ni
0.6920 0.7038 0.9495 Ni
0.1923 0.8803 0.6131 Ni
```

Values from the calculation:
Final energy: -5.254 eV/atom
Space-group type: No. 4
Fermi-level density of states: 0.413 states/eV/atom
Relative energy among the computed polymorphs: 36 meV/atom

---

[9]
An optimized crystal structure of Ni3GeH, computed with PBE.

The structure in POSCAR format:
```
Ni3GeH
1.0
-2.8649 -0.4535 9.0196
-6.1833 -1.4472 1.9020
-1.5751 -4.4415 -4.6624
Ni Ge H
12 4 4
direct
0.4127 0.3945 0.4725 Ni
0.0873 0.9725 0.8945 Ni
0.5873 0.6055 0.5275 Ni
0.9127 0.0275 0.1055 Ni
0.0906 0.2216 0.1582 Ni
0.4094 0.6582 0.7216 Ni
0.9094 0.7784 0.8418 Ni
0.5906 0.3418 0.2784 Ni
0.5652 0.8826 0.7778 Ni
0.9348 0.2778 0.3826 Ni
0.4348 0.1174 0.2222 Ni
0.0652 0.7222 0.6174 Ni
0.0616 0.5103 0.3336 Ge
0.4384 0.8336 0.0103 Ge
0.9384 0.4897 0.6664 Ge
0.5616 0.1664 0.9897 Ge
0.7500 0.1859 0.6859 H
0.2500 0.8141 0.3141 H
0.7500 0.4384 0.9384 H
0.2500 0.5616 0.0616 H
```

Values from the calculation:
Final energy: -5.172 eV/atom
Space-group type: No. 15
Fermi-level density of states: 0.635 states/eV/atom
Relative energy among the computed polymorphs: 117 meV/atom

---

[10]
An optimized crystal structure of Ni3GeH, computed with PBE.

The structure in POSCAR format:
```
Ni3GeH
1.0
-3.2969 1.6918 2.0462
1.2339 -2.6634 4.1900
3.1825 2.0106 3.4642
H Ge Ni
2 2 6
direct
0.3420 0.5114 0.8575 H
0.8420 0.5114 0.8575 H
0.5919 0.1780 0.5242 Ge
0.0919 0.8447 0.1909 Ge
0.5921 0.1715 0.0289 Ni
0.5920 0.6796 0.5175 Ni
0.0921 0.3399 0.6891 Ni
0.0922 0.3429 0.1975 Ni
0.5922 0.6828 0.0259 Ni
0.0920 0.8514 0.6862 Ni
```

Values from the calculation:
Final energy: -5.271 eV/atom
Space-group type: No. 176
Fermi-level density of states: 0.522 states/eV/atom
Relative energy among the computed polymorphs: 18 meV/atom

---

[11]
An optimized crystal structure of Ni3GeH, computed with PBE.

The structure in POSCAR format:
```
Ni3GeH
1.0
-1.5267 3.7185 -0.0272
-2.4365 -3.1700 0.4162
0.7508 0.3605 7.1414
Ni Ge H
6 2 2
direct
0.0000 0.0000 0.2500 Ni
0.0000 0.0000 0.7500 Ni
0.3333 0.6667 0.0795 Ni
0.3333 0.6667 0.4205 Ni
0.6667 0.3333 0.5795 Ni
0.6667 0.3333 0.9205 Ni
0.3333 0.6667 0.7500 Ge
0.6667 0.3333 0.2500 Ge
0.0000 0.0000 0.0000 H
0.0000 0.0000 0.5000 H
```

Values from the calculation:
Final energy: -5.062 eV/atom
Space-group type: No. 194
Fermi-level density of states: 0.335 states/eV/atom
Relative energy among the computed polymorphs: 228 meV/atom

---

[12]
An optimized crystal structure of Ni4GeH2, computed with PBE.

The structure in POSCAR format:
```
Ni4GeH2
1.0
2.8368 0.0000 0.0000
-1.4184 4.7362 0.0000
0.0000 0.0000 9.4119
Ni Ge H
8 2 4
direct
0.7741 0.5483 0.1049 Ni
0.7741 0.5483 0.3951 Ni
0.2259 0.4517 0.8951 Ni
0.2259 0.4517 0.6049 Ni
0.8910 0.7820 0.7500 Ni
0.1090 0.2180 0.2500 Ni
0.5000 0.0000 0.0000 Ni
0.5000 0.0000 0.5000 Ni
0.5903 0.1805 0.7500 Ge
0.4097 0.8195 0.2500 Ge
0.1279 0.2558 0.4507 H
0.8721 0.7442 0.9507 H
0.1279 0.2558 0.0493 H
0.8721 0.7442 0.5493 H
```

Values from the calculation:
Final energy: -4.999 eV/atom
Space-group type: No. 63
Fermi-level density of states: 0.468 states/eV/atom
Relative energy among the computed polymorphs: 17 meV/atom

---

[13]
An optimized crystal structure of Ni3GeH, computed with PBE.

The structure in POSCAR format:
```
Ni3GeH
1.0
-1.6024 0.1156 4.0562
-1.9568 -3.8424 -0.6635
3.5548 -2.0630 1.4631
Ni Ge H
3 1 1
direct
0.0000 0.5000 0.0000 Ni
0.0000 0.0000 0.5000 Ni
0.5000 0.0000 0.0000 Ni
0.0000 0.0000 0.0000 Ge
0.5000 0.5000 0.5000 H
```

Values from the calculation:
Final energy: -3.857 eV/atom
Space-group type: No. 221
Fermi-level density of states: 1.798 states/eV/atom
Relative energy among the computed polymorphs: 1433 meV/atom

---

[14]
An optimized crystal structure of Ni3GeH, computed with PBE.

The structure in POSCAR format:
```
Ni3GeH
1.0
-7.0393 6.9051 -12.4317
-3.7610 0.1434 -6.0183
1.4271 -0.9588 6.8869
Ni Ge H
6 2 2
direct
0.8137 0.2353 0.7647 Ni
0.1863 0.7647 0.2353 Ni
0.1483 0.1453 0.8547 Ni
0.8517 0.8547 0.1453 Ni
0.5027 0.6722 0.3278 Ni
0.4973 0.3278 0.6722 Ni
0.8439 0.0362 0.9638 Ge
0.1561 0.9638 0.0362 Ge
0.6435 0.9605 0.0395 H
0.3565 0.0395 0.9605 H
```

Values from the calculation:
Final energy: -5.043 eV/atom
Space-group type: No. 12
Fermi-level density of states: 0.715 states/eV/atom
Relative energy among the computed polymorphs: 247 meV/atom

---

[15]
An optimized crystal structure of Ni3GeH, computed with PBE.

The structure in POSCAR format:
```
Ni3GeH
1.0
3.5834 0.0000 3.0515
-1.7917 3.1033 3.0515
-1.7917 -3.1033 3.0515
Ni Ge H
6 2 2
direct
0.9848 0.5152 0.2500 Ni
0.5152 0.2500 0.9848 Ni
0.2500 0.9848 0.5152 Ni
0.7500 0.0152 0.4848 Ni
0.4848 0.7500 0.0152 Ni
0.0152 0.4848 0.7500 Ni
0.0000 0.0000 0.0000 Ge
0.5000 0.5000 0.5000 Ge
0.2500 0.2500 0.2500 H
0.7500 0.7500 0.7500 H
```

Values from the calculation:
Final energy: -5.041 eV/atom
Space-group type: No. 167
Fermi-level density of states: 0.633 states/eV/atom
Relative energy among the computed polymorphs: 248 meV/atom

---

[16]
An optimized crystal structure of Ni3GeH, computed with PBE.

The structure in POSCAR format:
```
Ni3GeH
1.0
2.4658 -5.9479 0.0000
2.4658 5.9479 0.0000
0.0000 0.0000 4.4266
Ni Ge H
6 2 2
direct
0.5962 0.9210 0.2500 Ni
0.0790 0.4038 0.2500 Ni
0.9210 0.5962 0.7500 Ni
0.4038 0.0790 0.7500 Ni
0.0000 0.0000 0.0000 Ni
0.0000 0.0000 0.5000 Ni
0.1743 0.8257 0.2500 Ge
0.8257 0.1743 0.7500 Ge
0.4191 0.5809 0.2500 H
0.5809 0.4191 0.7500 H
```

Values from the calculation:
Final energy: -4.934 eV/atom
Space-group type: No. 63
Fermi-level density of states: 0.633 states/eV/atom
Relative energy among the computed polymorphs: 356 meV/atom

---

[17]
An optimized crystal structure of Ni3GeH2, computed with PBE.

The structure in POSCAR format:
```
Ni3GeH2
1.0
3.9715 0.0000 0.0000
0.0000 5.2136 0.1533
0.0000 -1.1746 5.0819
Ni Ge H
6 2 4
direct
0.7500 0.1148 0.8852 Ni
0.7500 0.1829 0.4186 Ni
0.2500 0.4186 0.1829 Ni
0.7500 0.5814 0.8171 Ni
0.2500 0.8171 0.5814 Ni
0.2500 0.8852 0.1148 Ni
0.2500 0.3152 0.6848 Ge
0.7500 0.6848 0.3152 Ge
0.0000 0.1570 0.1570 H
0.5000 0.1570 0.1570 H
0.0000 0.8430 0.8430 H
0.5000 0.8430 0.8430 H
```

Values from the calculation:
Final energy: -4.922 eV/atom
Space-group type: No. 63
Fermi-level density of states: 0.212 states/eV/atom

---

[18]
An optimized crystal structure of Ni3GeH, computed with PBE.

The structure in POSCAR format:
```
Ni3GeH
1.0
-3.4098 -0.4992 -0.0973
0.2249 -2.0715 2.7466
-0.7481 4.4446 3.4135
Ni Ge H
3 1 1
direct
0.0000 0.0000 0.7488 Ni
0.5000 0.0000 0.4421 Ni
0.0000 0.5000 0.4421 Ni
0.0000 0.0000 0.1458 Ge
0.5000 0.5000 0.4849 H
```

Values from the calculation:
Final energy: -4.837 eV/atom
Space-group type: No. 99
Fermi-level density of states: 0.920 states/eV/atom
Relative energy among the computed polymorphs: 453 meV/atom

---

[19]
An optimized crystal structure of Ni4GeH2, computed with PBE.

The structure in POSCAR format:
```
Ni4GeH2
1.0
4.3908 0.6948 -1.6147
-1.9234 3.9843 -1.6017
0.1844 0.3573 6.6219
Ni Ge H
8 2 4
direct
0.9153 0.5203 0.6245 Ni
0.2912 0.0696 0.7636 Ni
0.7662 0.2218 0.1644 Ni
0.3995 0.1169 0.3900 Ni
0.7780 0.0574 0.7366 Ni
0.2579 0.4767 0.1096 Ni
0.8537 0.8077 0.3352 Ni
0.5406 0.6448 0.8754 Ni
0.3238 0.6355 0.4870 Ge
0.0857 0.8991 0.0134 Ge
0.7677 0.1590 0.3994 H
0.5532 0.2926 0.7044 H
0.1000 0.3387 0.7950 H
0.6171 0.5099 0.1013 H
```

Values from the calculation:
Final energy: -5.016 eV/atom
Space-group type: No. 1
Fermi-level density of states: 0.520 states/eV/atom
Relative energy among the computed polymorphs: 0 meV/atom

---

[20]
An optimized crystal structure of NiGeH, computed with PBE.

The structure in POSCAR format:
```
NiGeH
1.0
-2.1883 -2.7302 0.4413
1.7223 -1.7856 -2.5065
4.1397 -2.5631 4.6705
Ni Ge H
2 2 2
direct
0.0000 0.0000 0.5000 Ni
0.5000 0.5000 0.5000 Ni
0.0000 0.5000 0.2679 Ge
0.5000 0.0000 0.7321 Ge
0.0000 0.5000 0.0369 H
0.5000 0.0000 0.9631 H
```

Values from the calculation:
Final energy: -4.480 eV/atom
Space-group type: No. 129
Fermi-level density of states: 0.332 states/eV/atom
Relative energy among the computed polymorphs: 132 meV/atom

---

[21]
An optimized crystal structure of Ni2GeH, computed with PBE.

The structure in POSCAR format:
```
Ni2GeH
1.0
-0.8461 2.2809 1.4264
-2.4219 -0.0578 1.4436
1.7190 -1.1172 5.5937
Ni Ge H
2 1 1
direct
0.0593 0.0593 0.8222 Ni
0.2712 0.2712 0.1864 Ni
0.4990 0.4990 0.5030 Ge
0.6705 0.6705 0.9884 H
```

Values from the calculation:
Final energy: -4.941 eV/atom
Space-group type: No. 160
Fermi-level density of states: 0.376 states/eV/atom
Relative energy among the computed polymorphs: 83 meV/atom

---

[22]
An optimized crystal structure of Ni3GeH, computed with PBE.

The structure in POSCAR format:
```
Ni3GeH
1.0
2.4202 -1.3973 0.0000
0.0000 2.7945 0.0000
0.0000 0.0000 15.3221
Ni Ge H
6 2 2
direct
0.0000 0.0000 0.2500 Ni
0.0000 0.0000 0.7500 Ni
0.3333 0.6667 0.8813 Ni
0.3333 0.6667 0.6187 Ni
0.6667 0.3333 0.3813 Ni
0.6667 0.3333 0.1187 Ni
0.0000 0.0000 0.0000 Ge
0.0000 0.0000 0.5000 Ge
0.3333 0.6667 0.7500 H
0.6667 0.3333 0.2500 H
```

Values from the calculation:
Final energy: -5.036 eV/atom
Space-group type: No. 194
Fermi-level density of states: 0.502 states/eV/atom
Relative energy among the computed polymorphs: 254 meV/atom